(1)
This record from Alexandria describes crystalline SrTbGa2Pd2 at its relaxed geometry. The functional is PBE.

**Formation energy**: -0.7781 eV/atom
**Uncorrected energy**: -27.4 eV per cell

Lattice parameters (Å, degrees): 4.5031 4.5031 7.7161 90.00 90.00 120.00
Space group P-3m1 (No. 164)
Symmetry-distinct sites (fractional):
1 Sr 0.0000 0.0000 0.0000 [1 per cell]
2 Tb 0.0000 0.0000 0.5000 [1 per cell]
3 Ga 0.3333 0.6667 0.2858 [2 per cell]
4 Pd 0.3333 0.6667 0.7065 [2 per cell]

=====

(2)
This record from Alexandria describes crystalline Sr2TbGa3Pd4 at its relaxed geometry. The functional is PBE.

**Formation energy**: -0.7255 eV/atom
**Uncorrected energy**: -45.1 eV per cell

Lattice parameters (Å, degrees): 4.428 4.428 11.215 90.00 90.00 90.00
Space group P-4m2 (No. 115)
Symmetry-distinct sites (fractional):
1 Sr 0.000 0.500 0.228 [2 per cell]
2 Tb 0.000 0.000 0.500 [1 per cell]
3 Ga 0.000 0.500 0.884 [2 per cell]
4 Ga 0.500 0.500 0.500 [1 per cell]
5 Pd 0.000 0.000 0.000 [1 per cell]
6 Pd 0.000 0.500 0.655 [2 per cell]
7 Pd 0.500 0.500 0.000 [1 per cell]

=====

(3)
This record from Alexandria describes crystalline SrGa2TePd at its relaxed geometry. The functional is PBE.

**Uncorrected energy**: -19.3 eV per cell
**Formation energy (no corrections)**: -646.1 meV/atom

Lattice parameters (Å, degrees): 4.862 4.862 5.945 90.00 90.00 90.00
Space group P4/mmm (No. 123)
Symmetry-distinct sites (fractional):
1 Sr 0.000 0.000 0.000 [1 per cell]
2 Ga 0.000 0.500 0.500 [2 per cell]
3 Te 0.500 0.500 0.000 [1 per cell]
4 Pd 0.000 0.000 0.500 [1 per cell]

=====

(4)
This record from Alexandria describes crystalline Sr2TlGa3Pd4 at its relaxed geometry. The functional is PBE.

**Formation energy**: -0.6438 eV/atom
**Uncorrected energy**: -42.0 eV per cell

Lattice parameters (Å, degrees): 4.508 4.508 10.653 90.00 90.00 90.00
Space group P-4m2 (No. 115)
Symmetry-distinct sites (fractional):
1 Sr 0.000 0.500 0.237 [2 per cell]
2 Tl 0.000 0.000 0.500 [1 per cell]
3 Ga 0.000 0.500 0.887 [2 per cell]
4 Ga 0.500 0.500 0.500 [1 per cell]
5 Pd 0.000 0.000 0.000 [1 per cell]
6 Pd 0.000 0.500 0.651 [2 per cell]
7 Pd 0.500 0.500 0.000 [1 per cell]

=====

(5)
This record from Alexandria describes crystalline Sr2TlGaPd6 at its relaxed geometry. The functional is PBE.

**Formation energy**: -0.2103 eV/atom
**Uncorrected energy**: -84.0 eV per cell

Lattice parameters (Å, degrees): 12.117 7.003 6.986 90.00 125.15 90.00
Space group C2/m (No. 12)
Symmetry-distinct sites (fractional):
1 Sr 0.250 0.000 0.250 [4 per cell]
2 Tl 0.000 0.000 0.500 [2 per cell]
3 Ga 0.000 0.500 0.000 [2 per cell]
4 Pd 0.000 0.263 0.237 [8 per cell]
5 Pd 0.237 0.500 0.237 [4 per cell]

=====

(6)
This record from Alexandria describes crystalline SrTmGa2Pd2 at its relaxed geometry. The functional is PBE.

**Formation energy**: -0.7864 eV/atom
**Uncorrected energy**: -27.3 eV per cell

Lattice parameters (Å, degrees): 4.4946 4.4946 7.6062 90.00 90.00 120.00
Space group P-3m1 (No. 164)
Symmetry-distinct sites (fractional):
1 Sr 0.0000 0.0000 0.0000 [1 per cell]
2 Tm 0.0000 0.0000 0.5000 [1 per cell]
3 Ga 0.3333 0.6667 0.2923 [2 per cell]
4 Pd 0.3333 0.6667 0.6980 [2 per cell]

=====

(7)
This record from Alexandria describes crystalline SrTmGa2Pd5 at its relaxed geometry. The functional is PBE.

**Formation energy**: -0.6393 eV/atom
**Uncorrected energy**: -43.9 eV per cell

Lattice parameters (Å, degrees): 4.304 4.304 9.178 90.00 90.00 90.00
Space group P4/mmm (No. 123)
Symmetry-distinct sites (fractional):
1 Sr 0.000 0.000 0.000 [1 per cell]
2 Tm 0.000 0.000 0.500 [1 per cell]
3 Ga 0.500 0.500 0.366 [2 per cell]
4 Pd 0.000 0.500 0.238 [4 per cell]
5 Pd 0.500 0.500 0.000 [1 per cell]

=====

(8)
This record from Alexandria describes crystalline Sr2YGa3Pd4 at its relaxed geometry. The functional is PBE.

**Formation energy**: -0.7253 eV/atom
**Uncorrected energy**: -46.9 eV per cell

Lattice parameters (Å, degrees): 4.423 4.423 11.233 90.00 90.00 90.00
Space group P-4m2 (No. 115)
Symmetry-distinct sites (fractional):
1 Sr 0.000 0.500 0.228 [2 per cell]
2 Y 0.000 0.000 0.500 [1 per cell]
3 Ga 0.000 0.500 0.884 [2 per cell]
4 Ga 0.500 0.500 0.500 [1 per cell]
5 Pd 0.000 0.000 0.000 [1 per cell]
6 Pd 0.000 0.500 0.655 [2 per cell]
7 Pd 0.500 0.500 0.000 [1 per cell]

=====

(9)
This record from Alexandria describes crystalline SrYGa2Pd2 at its relaxed geometry. The functional is PBE.

**Formation energy**: -0.7806 eV/atom
**Uncorrected energy**: -29.3 eV per cell

Lattice parameters (Å, degrees): 4.5014 4.5014 7.7055 90.00 90.00 120.00
Space group P-3m1 (No. 164)
Symmetry-distinct sites (fractional):
1 Sr 0.0000 0.0000 0.0000 [1 per cell]
2 Y 0.0000 0.0000 0.5000 [1 per cell]
3 Ga 0.3333 0.6667 0.2866 [2 per cell]
4 Pd 0.3333 0.6667 0.7067 [2 per cell]

=====

(10)
This record from Alexandria describes crystalline Sr2ZnGaPd6 at its relaxed geometry. The functional is PBE.

**Formation energy**: -0.5376 eV/atom
**Uncorrected energy**: -44.2 eV per cell

Lattice parameters (Å, degrees): 6.626 6.649 6.667 60.61 60.63 60.65
Space group P-1 (No. 2)
Symmetry-distinct sites (fractional):
1 Sr 0.202 0.204 0.204 [2 per cell]
2 Zn 0.500 0.500 0.500 [1 per cell]
3 Ga 0.000 0.000 0.000 [1 per cell]
4 Pd 0.169 0.636 0.321 [2 per cell]
5 Pd 0.323 0.168 0.635 [2 per cell]
6 Pd 0.363 0.678 0.831 [2 per cell]

=====

(11)
This record from Alexandria describes crystalline SrZnGaPd3 at its relaxed geometry. The functional is PBE.

**Formation energy**: -0.4911 eV/atom
**Uncorrected energy**: -98.0 eV per cell

Lattice parameters (Å, degrees): 6.811 12.336 5.868 90.00 90.00 90.00
Space group Cmcm (No. 63)
Symmetry-distinct sites (fractional):
1 Sr 0.000 0.216 0.250 [4 per cell]
2 Zn 0.000 0.468 0.250 [4 per cell]
3 Ga 0.000 0.126 0.750 [4 per cell]
4 Pd 0.000 0.327 0.750 [4 per cell]
5 Pd 0.206 0.000 0.000 [8 per cell]

=====

(12)
This record from Alexandria describes crystalline Sr2Zn3GaPd4 at its relaxed geometry. The functional is PBE.

**Formation energy**: -0.5971 eV/atom
**Uncorrected energy**: -37.0 eV per cell

Lattice parameters (Å, degrees): 4.383 4.383 10.558 90.00 90.00 90.00
Space group P-4m2 (No. 115)
Symmetry-distinct sites (fractional):
1 Sr 0.000 0.500 0.245 [2 per cell]
2 Zn 0.000 0.500 0.870 [2 per cell]
3 Zn 0.500 0.500 0.500 [1 per cell]
4 Ga 0.000 0.000 0.500 [1 per cell]
5 Pd 0.000 0.000 0.000 [1 per cell]
6 Pd 0.000 0.500 0.627 [2 per cell]
7 Pd 0.500 0.500 0.000 [1 per cell]

=====

(13)
This record from Alexandria describes crystalline Sr2ZnGa4Pd3 at its relaxed geometry. The functional is PBE.

**Formation energy**: -0.6266 eV/atom
**Uncorrected energy**: -38.6 eV per cell

Lattice parameters (Å, degrees): 4.479 4.479 10.275 90.00 90.00 90.00
Space group P-4m2 (No. 115)
Symmetry-distinct sites (fractional):
1 Sr 0.000 0.500 0.248 [2 per cell]
2 Zn 0.500 0.500 0.000 [1 per cell]
3 Ga 0.000 0.000 0.500 [1 per cell]
4 Ga 0.000 0.500 0.874 [2 per cell]
5 Ga 0.500 0.500 0.500 [1 per cell]
6 Pd 0.000 0.000 0.000 [1 per cell]
7 Pd 0.000 0.500 0.625 [2 per cell]

=====

(14)
This record from Alexandria describes crystalline Sr2ZnGa3Pd4 at its relaxed geometry. The functional is PBE.

**Formation energy**: -0.6992 eV/atom
**Uncorrected energy**: -41.5 eV per cell

Lattice parameters (Å, degrees): 4.458 4.458 10.262 90.00 90.00 90.00
Space group P-4m2 (No. 115)
Symmetry-distinct sites (fractional):
1 Sr 0.000 0.500 0.248 [2 per cell]
2 Zn 0.000 0.000 0.500 [1 per cell]
3 Ga 0.000 0.500 0.877 [2 per cell]
4 Ga 0.500 0.500 0.500 [1 per cell]
5 Pd 0.000 0.000 0.000 [1 per cell]
6 Pd 0.000 0.500 0.630 [2 per cell]
7 Pd 0.500 0.500 0.000 [1 per cell]

=====

(15)
This record from Alexandria describes crystalline Sr2Zn4Ga3Pd at its relaxed geometry. The functional is PBE.

**Formation energy**: -0.3910 eV/atom
**Uncorrected energy**: -26.6 eV per cell

Lattice parameters (Å, degrees): 4.434 4.434 10.540 90.00 90.00 90.00
Space group P-4m2 (No. 115)
Symmetry-distinct sites (fractional):
1 Sr 0.000 0.500 0.247 [2 per cell]
2 Zn 0.000 0.000 0.500 [1 per cell]
3 Zn 0.000 0.500 0.875 [2 per cell]
4 Zn 0.500 0.500 0.500 [1 per cell]
5 Ga 0.000 0.000 0.000 [1 per cell]
6 Ga 0.000 0.500 0.632 [2 per cell]
7 Pd 0.500 0.500 0.000 [1 per cell]

=====

(16)
This record from Alexandria describes crystalline Sr2ZnGa2Pd at its relaxed geometry. The functional is PBE.

**Formation energy**: -0.4931 eV/atom
**Uncorrected energy**: -75.4 eV per cell

Lattice parameters (Å, degrees): 6.341 14.853 6.325 90.00 90.00 90.00
Space group Ibam (No. 72)
Symmetry-distinct sites (fractional):
1 Sr 0.246 0.162 0.000 [8 per cell]
2 Zn 0.000 0.000 0.250 [4 per cell]
3 Ga 0.243 0.405 0.000 [8 per cell]
4 Pd 0.000 0.500 0.250 [4 per cell]

=====

(17)
This record from Alexandria describes crystalline SrZnGa3Pd at its relaxed geometry. The functional is PBE.

**Formation energy**: -0.2648 eV/atom
**Uncorrected energy**: -75.3 eV per cell

Lattice parameters (Å, degrees): 6.423 12.318 6.599 90.00 90.00 90.00
Space group Cmcm (No. 63)
Symmetry-distinct sites (fractional):
1 Sr 0.000 0.221 0.250 [4 per cell]
2 Zn 0.000 0.465 0.250 [4 per cell]
3 Ga 0.000 0.331 0.750 [4 per cell]
4 Ga 0.208 0.000 0.000 [8 per cell]
5 Pd 0.000 0.128 0.750 [4 per cell]

=====

(18)
This record from Alexandria describes crystalline Sr2Zn3Ga4Pd at its relaxed geometry. The functional is PBE.

**Formation energy**: -0.4275 eV/atom
**Uncorrected energy**: -28.8 eV per cell

Lattice parameters (Å, degrees): 4.456 4.456 10.497 90.00 90.00 90.00
Space group P-4m2 (No. 115)
Symmetry-distinct sites (fractional):
1 Sr 0.000 0.500 0.248 [2 per cell]
2 Zn 0.000 0.000 0.000 [1 per cell]
3 Zn 0.000 0.500 0.633 [2 per cell]
4 Ga 0.000 0.000 0.500 [1 per cell]
5 Ga 0.000 0.500 0.878 [2 per cell]
6 Ga 0.500 0.500 0.500 [1 per cell]
7 Pd 0.500 0.500 0.000 [1 per cell]

=====

(19)
This record from Alexandria describes crystalline Sr2ZnGaPd at its relaxed geometry. The functional is PBE.

**Formation energy**: -0.0418 eV/atom
**Uncorrected energy**: -13.1 eV per cell
**Energy above the most stable polymorph in this dataset**: 0.243 eV/atom

Lattice parameters (Å, degrees): 5.927 5.927 4.630 90.00 90.00 90.00
Space group P4/mmm (No. 123)
Symmetry-distinct sites (fractional):
1 Sr 0.000 0.500 0.000 [2 per cell]
2 Zn 0.000 0.000 0.000 [1 per cell]
3 Ga 0.500 0.500 0.500 [1 per cell]
4 Pd 0.000 0.000 0.500 [1 per cell]

=====

(20)
This record from Alexandria describes crystalline Sr2ZnGaPd at its relaxed geometry. The functional is PBE.

**Formation energy**: -0.2852 eV/atom
**Uncorrected energy**: -14.3 eV per cell
**Energy above the most stable polymorph in this dataset**: 0.000 eV/atom

Lattice parameters (Å, degrees): 5.875 5.875 4.784 90.00 90.00 90.00
Space group P4/mmm (No. 123)
Symmetry-distinct sites (fractional):
1 Sr 0.000 0.500 0.000 [2 per cell]
2 Zn 0.000 0.000 0.500 [1 per cell]
3 Ga 0.500 0.500 0.500 [1 per cell]
4 Pd 0.500 0.500 0.000 [1 per cell]

=====

(21)
This record from Alexandria describes crystalline Sr2Zn2GaPd5 at its relaxed geometry. The functional is PBE.

**Formation energy**: -0.5633 eV/atom
**Uncorrected energy**: -81.1 eV per cell

Lattice parameters (Å, degrees): 10.274 10.274 3.544 90.00 90.00 90.00
Space group P4/mbm (No. 127)
Symmetry-distinct sites (fractional):
1 Sr 0.175 0.325 0.000 [4 per cell]
2 Zn 0.125 0.625 0.000 [4 per cell]
3 Ga 0.000 0.000 0.000 [2 per cell]
4 Pd 0.000 0.500 0.500 [2 per cell]
5 Pd 0.059 0.804 0.500 [8 per cell]

=====

(22)
This record from Alexandria describes crystalline TaGaPd at its relaxed geometry. The functional is PBE.

**Formation energy**: 0.0050 eV/atom
**Uncorrected energy**: -120.3 eV per cell

Lattice parameters (Å, degrees): 4.3488 4.3488 19.5962 90.00 90.00 120.00
Space group R-3m (No. 166, hexagonal axes)
Symmetry-distinct sites (fractional):
1 Ta 0.0000 0.0000 0.2111 [6 per cell]
2 Ga 0.0000 0.0000 0.3813 [6 per cell]
3 Pd 0.0000 0.0000 0.0698 [6 per cell]

=====

(23)
This record from Alexandria describes crystalline Ta2Ga4Pd at its relaxed geometry. The functional is PBE.

**Formation energy**: -0.1414 eV/atom
**Uncorrected energy**: -84.0 eV per cell

Lattice parameters (Å, degrees): 15.062 3.028 5.732 90.00 112.36 90.00
Space group C2/m (No. 12)
Symmetry-distinct sites (fractional):
1 Ta 0.239 0.000 0.205 [4 per cell]
2 Ga 0.093 0.000 0.719 [4 per cell]
3 Ga 0.111 0.500 0.343 [4 per cell]
4 Pd 0.000 0.000 0.000 [2 per cell]